1.
VASP calculation (GGA-PBEsol) on an optimized crystal structure of FeIrO2.

As for the energy relative to the elements, uncorrected: -0.0931 eV/atom. The value obtained for the mass density is 9.821 Mg/m³.

a = 5.3675 Å, b = 5.3675 Å, c = 5.3675 Å
α = 127.37°, β = 127.37°, γ = 77.65°
Positions (direct):
Fe (0.0000, 0.0000, 0.0000)
Fe (0.7500, 0.2500, 0.5000)
Ir (0.2500, 0.7500, 0.5000)
Ir (0.5000, 0.5000, 0.0000)
O (0.0938, 0.6250, 0.9688)
O (0.3750, 0.3438, 0.4688)
O (0.6562, 0.1250, 0.0312)
O (0.8750, 0.9062, 0.5312)



2.
VASP calculation (GGA-PBEsol) on an optimized crystal structure of Co4Pt5.

The value obtained for the mass density is 16.980 Mg/m³. The formation energy is -56.9 meV/atom.

a = 5.9124 Å, b = 5.9124 Å, c = 5.9124 Å
α = 95.84°, β = 95.84°, γ = 142.79°
Positions (direct):
Co (0.0000, 0.3492, 0.3492)
Co (0.0000, 0.6508, 0.6508)
Co (0.3492, 0.0000, 0.3492)
Co (0.6508, 0.0000, 0.6508)
Pt (0.0000, 0.0000, 0.0000)
Pt (0.3295, 0.3295, 0.6589)
Pt (0.3295, 0.6705, 0.0000)
Pt (0.6705, 0.3295, 0.0000)
Pt (0.6705, 0.6705, 0.3411)



3.
VASP calculation (GGA-PBEsol) on an optimized crystal structure of Tl2ZnIn.

The value obtained for the mass density is 10.147 Mg/m³. The formation energy is 119.2 meV/atom.

a = 3.3360 Å, b = 3.3360 Å, c = 8.6609 Å
α = 90.00°, β = 90.00°, γ = 90.00°
Positions (direct):
Tl (0.0000, 0.0000, 0.2208)
Tl (0.0000, 0.0000, 0.7792)
Zn (0.5000, 0.5000, 0.0000)
In (0.5000, 0.5000, 0.5000)



4.
VASP calculation (GGA-PBEsol) on an optimized crystal structure of ScMn2Be.

The value obtained for the mass density is 5.485 Mg/m³. The formation energy is 143.6 meV/atom.

a = 2.7940 Å, b = 3.7588 Å, c = 4.8512 Å
α = 90.00°, β = 103.18°, γ = 90.00°
Positions (direct):
Sc (0.0000, 0.0000, 0.0000)
Mn (0.2842, 0.5000, 0.6381)
Mn (0.5722, 0.0000, 0.5044)
Be (0.6161, 0.5000, 0.2480)



5.
VASP calculation (GGA-PBEsol) on an optimized crystal structure of SrLi2Ti6O14.

As for the energy relative to the elements, uncorrected: -2.9980 eV/atom. The value obtained for the mass density is 3.870 Mg/m³.

a = 9.9767 Å, b = 9.9767 Å, c = 11.4074 Å
α = 90.00°, β = 90.00°, γ = 67.85°
Positions (direct):
Sr (0.1479, 0.8521, 0.8766)
Sr (0.3521, 0.6479, 0.3766)
Sr (0.6479, 0.3521, 0.6234)
Sr (0.8521, 0.1479, 0.1234)
Li (0.0591, 0.5695, 0.3771)
Li (0.0695, 0.5591, 0.8771)
Li (0.4305, 0.9409, 0.3771)
Li (0.4409, 0.9305, 0.8771)
Li (0.5591, 0.0695, 0.1229)
Li (0.5695, 0.0591, 0.6229)
Li (0.9305, 0.4409, 0.1229)
Li (0.9409, 0.4305, 0.6229)
Ti (0.0111, 0.7738, 0.6159)
Ti (0.0151, 0.7672, 0.1372)
Ti (0.2262, 0.9889, 0.6159)
Ti (0.2328, 0.9849, 0.1372)
Ti (0.2424, 0.2424, 0.0000)
Ti (0.2426, 0.2574, 0.2500)
Ti (0.2574, 0.2426, 0.7500)
Ti (0.2576, 0.2576, 0.5000)
Ti (0.2672, 0.5151, 0.6372)
Ti (0.2738, 0.5111, 0.1159)
Ti (0.4849, 0.7328, 0.6372)
Ti (0.4889, 0.7262, 0.1159)
Ti (0.5111, 0.2738, 0.8841)
Ti (0.5151, 0.2672, 0.3628)
Ti (0.7262, 0.4889, 0.8841)
Ti (0.7328, 0.4849, 0.3628)
Ti (0.7424, 0.7424, 0.5000)
Ti (0.7426, 0.7574, 0.2500)
Ti (0.7574, 0.7426, 0.7500)
Ti (0.7576, 0.7576, 0.0000)
Ti (0.7672, 0.0151, 0.8628)
Ti (0.7738, 0.0111, 0.3841)
Ti (0.9849, 0.2328, 0.8628)
Ti (0.9889, 0.2262, 0.3841)
O (0.0813, 0.9187, 0.1203)
O (0.0900, 0.9100, 0.6357)
O (0.1185, 0.3550, 0.3782)
O (0.1199, 0.3490, 0.8719)
O (0.1261, 0.1380, 0.2488)
O (0.1297, 0.1297, 0.0000)
O (0.1330, 0.1330, 0.5000)
O (0.1380, 0.1261, 0.7512)
O (0.1392, 0.6457, 0.0148)
O (0.1402, 0.6438, 0.7400)
O (0.1438, 0.6402, 0.2400)
O (0.1450, 0.3815, 0.1218)
O (0.1457, 0.6392, 0.5148)
O (0.1510, 0.3801, 0.6281)
O (0.3490, 0.1199, 0.1281)
O (0.3543, 0.8608, 0.0148)
O (0.3550, 0.1185, 0.6218)
O (0.3562, 0.8598, 0.7400)
O (0.3598, 0.8562, 0.2400)
O (0.3608, 0.8543, 0.5148)
O (0.3620, 0.3739, 0.2512)
O (0.3670, 0.3670, 0.0000)
O (0.3703, 0.3703, 0.5000)
O (0.3739, 0.3620, 0.7488)
O (0.3801, 0.1510, 0.3719)
O (0.3815, 0.1450, 0.8782)
O (0.4100, 0.5900, 0.1357)
O (0.4187, 0.5813, 0.6203)
O (0.5813, 0.4187, 0.3797)
O (0.5900, 0.4100, 0.8643)
O (0.6185, 0.8550, 0.1218)
O (0.6199, 0.8490, 0.6281)
O (0.6261, 0.6380, 0.2512)
O (0.6297, 0.6297, 0.5000)
O (0.6330, 0.6330, 0.0000)
O (0.6380, 0.6261, 0.7488)
O (0.6392, 0.1457, 0.4852)
O (0.6402, 0.1438, 0.7600)
O (0.6438, 0.1402, 0.2600)
O (0.6450, 0.8815, 0.3782)
O (0.6457, 0.1392, 0.9852)
O (0.6510, 0.8801, 0.8719)
O (0.8490, 0.6199, 0.3719)
O (0.8543, 0.3608, 0.4852)
O (0.8550, 0.6185, 0.8782)
O (0.8562, 0.3598, 0.7600)
O (0.8598, 0.3562, 0.2600)
O (0.8608, 0.3543, 0.9852)
O (0.8620, 0.8739, 0.2488)
O (0.8670, 0.8670, 0.5000)
O (0.8703, 0.8703, 0.0000)
O (0.8739, 0.8620, 0.7512)
O (0.8801, 0.6510, 0.1281)
O (0.8815, 0.6450, 0.6218)
O (0.9100, 0.0900, 0.3643)
O (0.9187, 0.0813, 0.8797)



6.
VASP calculation (GGA-PBEsol) on an optimized crystal structure of MgNb2GaN.

As for the energy relative to the elements, uncorrected: 2.5210 eV/atom. The value obtained for the mass density is 5.025 Mg/m³.

a = 4.7411 Å, b = 4.7411 Å, c = 4.3195 Å
α = 90.00°, β = 90.00°, γ = 90.00°
Positions (direct):
Mg (0.0000, 0.0000, 0.0000)
Nb (0.0000, 0.5000, 0.0000)
Nb (0.5000, 0.0000, 0.0000)
Ga (0.0000, 0.0000, 0.5000)
N (0.5000, 0.5000, 0.5000)



7.
VASP calculation (GGA-PBEsol) on an optimized crystal structure of NaTlBCl2.

As for the energy relative to the elements, uncorrected: 0.0316 eV/atom. The value obtained for the mass density is 3.708 Mg/m³.

a = 5.7301 Å, b = 5.7301 Å, c = 4.2155 Å
α = 90.00°, β = 90.00°, γ = 90.00°
Positions (direct):
Na (0.0000, 0.0000, 0.0000)
Tl (0.5000, 0.5000, 0.5000)
B (0.5000, 0.5000, 0.0000)
Cl (0.0000, 0.5000, 0.5000)
Cl (0.5000, 0.0000, 0.5000)



8.
VASP calculation (GGA-PBEsol) on an optimized crystal structure of Ba2LiSi3.

As for the energy relative to the elements, uncorrected: -0.4590 eV/atom. The value obtained for the mass density is 3.872 Mg/m³.

a = 12.1946 Å, b = 10.5158 Å, c = 8.7066 Å
α = 78.13°, β = 57.55°, γ = 44.32°
Positions (direct):
Ba (0.0007, 0.0007, 0.2493)
Ba (0.2493, 0.2493, 0.0007)
Ba (0.2492, 0.2492, 0.5008)
Ba (0.4992, 0.4992, 0.7508)
Ba (0.5008, 0.5008, 0.2492)
Ba (0.7508, 0.7508, 0.4992)
Ba (0.7507, 0.7507, 0.9993)
Ba (0.9993, 0.9993, 0.7507)
Li (0.0426, 0.7074, 0.0426)
Li (0.2926, 0.9574, 0.2926)
Li (0.7074, 0.0426, 0.7074)
Li (0.9574, 0.2926, 0.9574)
Si (0.0628, 0.6947, 0.5296)
Si (0.2129, 0.5296, 0.6947)
Si (0.2170, 0.5330, 0.2170)
Si (0.3053, 0.9372, 0.7871)
Si (0.4670, 0.7830, 0.4670)
Si (0.4704, 0.7871, 0.9372)
Si (0.5296, 0.2129, 0.0628)
Si (0.5330, 0.2170, 0.5330)
Si (0.6947, 0.0628, 0.2129)
Si (0.7830, 0.4670, 0.7830)
Si (0.7871, 0.4704, 0.3053)
Si (0.9372, 0.3053, 0.4704)



9.
VASP calculation (GGA-PBEsol) on an optimized crystal structure of HfScCuPt2.

The value obtained for the mass density is 10.605 Mg/m³. The formation energy is 1110.6 meV/atom.

a = 4.6491 Å, b = 4.6491 Å, c = 4.9057 Å
α = 90.00°, β = 90.00°, γ = 90.00°
Positions (direct):
Hf (0.0000, 0.0000, 0.0000)
Sc (0.0000, 0.0000, 0.5000)
Cu (0.5000, 0.5000, 0.0000)
Pt (0.0000, 0.5000, 0.5000)
Pt (0.5000, 0.0000, 0.5000)



10.
VASP calculation (GGA-PBEsol) on an optimized crystal structure of Li5NiO4.

As for the energy relative to the elements, uncorrected: -1.5230 eV/atom. The value obtained for the mass density is 2.826 Mg/m³.

a = 4.9784 Å, b = 15.8443 Å, c = 9.3810 Å
α = 90.00°, β = 90.00°, γ = 90.00°
Positions (direct):
Li (0.0039, 0.0270, 0.2176)
Li (0.0039, 0.4730, 0.7176)
Li (0.0394, 0.7294, 0.0482)
Li (0.0394, 0.7706, 0.5482)
Li (0.0626, 0.0663, 0.4631)
Li (0.0626, 0.4337, 0.9631)
Li (0.0887, 0.1551, 0.6926)
Li (0.0887, 0.3449, 0.1926)
Li (0.1063, 0.6802, 0.3183)
Li (0.1063, 0.8198, 0.8183)
Li (0.3937, 0.1802, 0.3183)
Li (0.3937, 0.3198, 0.8183)
Li (0.4113, 0.6551, 0.6926)
Li (0.4113, 0.8449, 0.1926)
Li (0.4374, 0.5663, 0.4631)
Li (0.4374, 0.9337, 0.9631)
Li (0.4606, 0.2294, 0.0482)
Li (0.4606, 0.2706, 0.5482)
Li (0.4961, 0.5270, 0.2176)
Li (0.4961, 0.9730, 0.7176)
Li (0.5039, 0.0270, 0.2824)
Li (0.5039, 0.4730, 0.7824)
Li (0.5394, 0.7294, 0.4518)
Li (0.5394, 0.7706, 0.9518)
Li (0.5626, 0.0663, 0.0369)
Li (0.5626, 0.4337, 0.5369)
Li (0.5887, 0.1551, 0.8074)
Li (0.5887, 0.3449, 0.3074)
Li (0.6063, 0.6802, 0.1817)
Li (0.6063, 0.8198, 0.6817)
Li (0.8937, 0.1802, 0.1817)
Li (0.8937, 0.3198, 0.6817)
Li (0.9113, 0.6551, 0.8074)
Li (0.9113, 0.8449, 0.3074)
Li (0.9374, 0.5663, 0.0369)
Li (0.9374, 0.9337, 0.5369)
Li (0.9606, 0.2294, 0.4518)
Li (0.9606, 0.2706, 0.9518)
Li (0.9961, 0.5270, 0.2824)
Li (0.9961, 0.9730, 0.7824)
Ni (0.1268, 0.1157, 0.9585)
Ni (0.1268, 0.3843, 0.4585)
Ni (0.3732, 0.6157, 0.9585)
Ni (0.3732, 0.8843, 0.4585)
Ni (0.6268, 0.1157, 0.5415)
Ni (0.6268, 0.3843, 0.0415)
Ni (0.8732, 0.6157, 0.5415)
Ni (0.8732, 0.8843, 0.0415)
O (0.1952, 0.5294, 0.8683)
O (0.1952, 0.9706, 0.3683)
O (0.2174, 0.6521, 0.5200)
O (0.2174, 0.8479, 0.0200)
O (0.2388, 0.6203, 0.1482)
O (0.2388, 0.8797, 0.6482)
O (0.2411, 0.7087, 0.8548)
O (0.2411, 0.7913, 0.3548)
O (0.2589, 0.2087, 0.8548)
O (0.2589, 0.2913, 0.3548)
O (0.2612, 0.1203, 0.1482)
O (0.2612, 0.3797, 0.6482)
O (0.2826, 0.1521, 0.5200)
O (0.2826, 0.3479, 0.0200)
O (0.3048, 0.0294, 0.8683)
O (0.3048, 0.4706, 0.3683)
O (0.6952, 0.5294, 0.6317)
O (0.6952, 0.9706, 0.1317)
O (0.7174, 0.6521, 0.9800)
O (0.7174, 0.8479, 0.4800)
O (0.7388, 0.6203, 0.3518)
O (0.7388, 0.8797, 0.8518)
O (0.7411, 0.7087, 0.6452)
O (0.7411, 0.7913, 0.1452)
O (0.7589, 0.2087, 0.6452)
O (0.7589, 0.2913, 0.1452)
O (0.7612, 0.1203, 0.3518)
O (0.7612, 0.3797, 0.8518)
O (0.7826, 0.1521, 0.9800)
O (0.7826, 0.3479, 0.4800)
O (0.8048, 0.0294, 0.6317)
O (0.8048, 0.4706, 0.1317)



11.
VASP calculation (GGA-PBEsol) on an optimized crystal structure of BeRe2P.

The value obtained for the mass density is 14.302 Mg/m³. The formation energy is -312.9 meV/atom. The energy above the most stable polymorph in this dataset comes out at 0 meV per atom.

a = 2.9490 Å, b = 2.9490 Å, c = 5.5059 Å
α = 90.00°, β = 90.00°, γ = 90.00°
Positions (direct):
Be (0.0000, 0.0000, 0.0000)
Re (0.0000, 0.0000, 0.4564)
Re (0.5000, 0.5000, 0.7803)
P (0.5000, 0.5000, 0.2164)



12.
VASP calculation (GGA-PBEsol) on an optimized crystal structure of LaZr2P.

The value obtained for the mass density is 6.015 Mg/m³. The formation energy is -527.4 meV/atom.

a = 5.5999 Å, b = 5.5999 Å, c = 3.5306 Å
α = 90.00°, β = 90.00°, γ = 118.55°
Positions (direct):
La (0.0000, 0.0000, 0.0000)
Zr (0.3136, 0.6864, 0.5000)
Zr (0.6864, 0.3136, 0.5000)
P (0.5000, 0.5000, 0.0000)



13.
VASP calculation (GGA-PBEsol) on an optimized crystal structure of Ce3Ga.

The value obtained for the mass density is 8.789 Mg/m³. The formation energy is -225.8 meV/atom.

a = 4.5240 Å, b = 4.5240 Å, c = 4.5240 Å
α = 90.00°, β = 90.00°, γ = 90.00°
Positions (direct):
Ce (0.0000, 0.0000, 0.5000)
Ce (0.0000, 0.5000, 0.0000)
Ce (0.5000, 0.0000, 0.0000)
Ga (0.5000, 0.5000, 0.5000)



14.
VASP calculation (GGA-PBEsol) on an optimized crystal structure of ErAlNi.

The value obtained for the mass density is 8.452 Mg/m³. The formation energy is -547.9 meV/atom.

a = 8.3240 Å, b = 5.2325 Å, c = 5.2325 Å
α = 60.71°, β = 90.00°, γ = 90.00°
Positions (direct):
Er (0.1743, 0.0000, 0.0000)
Er (0.2923, 0.6639, 0.6639)
Er (0.7077, 0.6639, 0.6639)
Er (0.8257, 0.0000, 0.0000)
Al (0.2380, 0.3258, 0.3258)
Al (0.5000, 0.1642, 0.6732)
Al (0.5000, 0.6732, 0.1642)
Al (0.7620, 0.3258, 0.3258)
Ni (0.0000, 0.4963, 0.4963)
Ni (0.0000, 0.4992, 0.9916)
Ni (0.0000, 0.9916, 0.4992)
Ni (0.5000, 0.1641, 0.1641)



15.
VASP calculation (GGA-PBEsol) on an optimized crystal structure of HfAg3Cl.

As for the energy relative to the elements, uncorrected: 1.2492 eV/atom. The value obtained for the mass density is 6.325 Mg/m³.

a = 5.2063 Å, b = 5.2063 Å, c = 5.2063 Å
α = 90.00°, β = 90.00°, γ = 90.00°
Positions (direct):
Hf (0.0000, 0.0000, 0.0000)
Ag (0.0000, 0.0000, 0.5000)
Ag (0.0000, 0.5000, 0.0000)
Ag (0.5000, 0.0000, 0.0000)
Cl (0.5000, 0.5000, 0.5000)



16.
VASP calculation (GGA-PBEsol) on an optimized crystal structure of KTlCr.

The value obtained for the mass density is 5.623 Mg/m³. The formation energy is 630.1 meV/atom. The energy above the most stable polymorph in this dataset comes out at 0 meV per atom.

a = 6.7292 Å, b = 6.7292 Å, c = 6.7292 Å
α = 152.24°, β = 141.90°, γ = 47.79°
Positions (direct):
K (0.0000, 0.0000, 0.0000)
Tl (0.7217, 0.7217, 0.0000)
Cr (0.2678, 0.2678, 0.0000)



17.
VASP calculation (GGA-PBEsol) on an optimized crystal structure of InSiSb2Te.

As for the energy relative to the elements, uncorrected: 1.0591 eV/atom. The value obtained for the mass density is 5.211 Mg/m³. The energy above the most stable polymorph in this dataset comes out at 646 meV per atom.

a = 5.4572 Å, b = 5.4572 Å, c = 5.5002 Å
α = 90.00°, β = 90.00°, γ = 90.00°
Positions (direct):
In (0.0000, 0.0000, 0.0000)
Si (0.5000, 0.5000, 0.5000)
Sb (0.0000, 0.5000, 0.0000)
Sb (0.5000, 0.0000, 0.0000)
Te (0.0000, 0.0000, 0.5000)



18.
VASP calculation (GGA-PBEsol) on an optimized crystal structure of CeMgZn2.

The value obtained for the mass density is 6.178 Mg/m³. The formation energy is -237.1 meV/atom.

a = 4.8235 Å, b = 4.8235 Å, c = 4.8235 Å
α = 60.00°, β = 60.00°, γ = 60.00°
Positions (direct):
Ce (0.0000, 0.0000, 0.0000)
Mg (0.5000, 0.5000, 0.5000)
Zn (0.2500, 0.2500, 0.2500)
Zn (0.7500, 0.7500, 0.7500)



Number 1: D(E_F) 0.97 states/eV per atom, calculated volume 11.8 A^3/atom, E_tot -7.4145 eV per atom. Number 2: D(E_F) 0.89 states/eV per atom, calculated volume 13.2 A^3/atom, E_tot -7.3643 eV per atom. Number 3: D(E_F) 0.44 states/eV per atom, calculated volume 24.1 A^3/atom, E_tot -2.3371 eV per atom. Number 4: D(E_F) 0.98 states/eV per atom, calculated volume 12.4 A^3/atom, E_tot -7.3882 eV per atom. Number 5: D(E_F) 0.00 states/eV per atom, calculated volume 11.4 A^3/atom, E_tot -8.6153 eV per atom. Number 6: D(E_F) 1.29 states/eV per atom, calculated volume 19.4 A^3/atom, E_tot -4.5242 eV per atom. Number 7: D(E_F) 0.31 states/eV per atom, calculated volume 27.7 A^3/atom, E_tot -2.9808 eV per atom. Number 8: D(E_F) 0.20 states/eV per atom, calculated volume 26.1 A^3/atom, E_tot -4.3764 eV per atom. Number 9: D(E_F) 0.80 states/eV per atom, calculated volume 21.2 A^3/atom, E_tot -5.9633 eV per atom. Number 10: D(E_F) 0.07 states/eV per atom, calculated volume 9.2 A^3/atom, E_tot -5.2219 eV per atom. Number 11: D(E_F) 0.44 states/eV per atom, calculated volume 12.0 A^3/atom, E_tot -9.4268 eV per atom. Number 12: D(E_F) 1.18 states/eV per atom, calculated volume 24.3 A^3/atom, E_tot -7.8567 eV per atom. Number 13: D(E_F) 2.86 states/eV per atom, calculated volume 23.1 A^3/atom, E_tot -6.0074 eV per atom. Number 14: D(E_F) 0.49 states/eV per atom, calculated volume 16.6 A^3/atom, E_tot -5.6066 eV per atom. Number 15: D(E_F) 1.17 states/eV per atom, calculated volume 28.2 A^3/atom, E_tot -3.2397 eV per atom. Number 16: D(E_F) 0.55 states/eV per atom, calculated volume 29.1 A^3/atom, E_tot -4.0384 eV per atom. Number 17: D(E_F) 1.03 states/eV per atom, calculated volume 32.8 A^3/atom, E_tot -3.2149 eV per atom. Number 18: D(E_F) 1.18 states/eV per atom, calculated volume 19.8 A^3/atom, E_tot -3.1062 eV per atom.